# 1
A relaxed CeTaNbC3 crystal. Source: the Alexandria database, functional GGA-PBE.

Properties
calculated volume: 158.8 Å³/cell
calculated formation energy: -0.387 eV per atom
D(E_F): 6.59 states/eV/cell

a = 5.687 Å, b = 3.319 Å, c = 8.613 Å
α = 90.00°, β = 102.42°, γ = 90.00°
Element x y z (fractional)
Ce 0.147 0.250 0.195
Ce 0.853 0.750 0.805
Ta 0.265 0.750 0.543
Ta 0.735 0.250 0.457
Nb 0.370 0.250 0.858
Nb 0.630 0.750 0.142
C 0.063 0.250 0.652
C 0.260 0.750 0.987
C 0.466 0.750 0.352
C 0.534 0.250 0.648
C 0.740 0.250 0.013
C 0.937 0.750 0.348

=====

# 2
A relaxed LiTmMnCl6 crystal. Source: the Alexandria database, functional GGA-PBE.

Properties
calculated volume: 409.5 Å³/cell
uncorrected formation energy: -1.52 eV/atom

a = 6.318 Å, b = 6.318 Å, c = 11.846 Å
α = 90.00°, β = 90.00°, γ = 120.00°
Element x y z (fractional)
Li 0.000 0.000 0.000
Li 0.000 0.000 0.500
Tm 0.333 0.667 0.250
Tm 0.667 0.333 0.750
Mn 0.333 0.667 0.750
Mn 0.667 0.333 0.250
Cl 0.025 0.356 0.631
Cl 0.025 0.668 0.869
Cl 0.332 0.356 0.869
Cl 0.332 0.975 0.631
Cl 0.356 0.025 0.131
Cl 0.356 0.332 0.369
Cl 0.644 0.668 0.631
Cl 0.644 0.975 0.869
Cl 0.668 0.025 0.369
Cl 0.668 0.644 0.131
Cl 0.975 0.332 0.131
Cl 0.975 0.644 0.369

=====

# 3
A relaxed ThGe2 crystal. Source: the Alexandria database, functional GGA-PBE.

Properties
calculated volume: 141.5 Å³/cell
calculated formation energy: -0.635 eV per atom
D(E_F): 2.28 states/eV/cell

a = 8.629 Å, b = 8.629 Å, c = 4.151 Å
α = 90.00°, β = 90.00°, γ = 152.75°
Element x y z (fractional)
Th 0.138 0.862 0.000
Th 0.862 0.138 0.000
Ge 0.000 0.000 0.500
Ge 0.299 0.701 0.500
Ge 0.500 0.500 0.000
Ge 0.701 0.299 0.500

=====

Among the records above, which one has the lowest calculated volume? ThGe2

=====

Among the records above, which one has the lowest calculated volume? ThGe2